*a*
## CaAgSbTe2 (PBE)

Data for crystalline CaAgSbTe2 at its relaxed geometry.

The structure in POSCAR format:
```
CaAgSbTe2
1.0
5.794 0.000 0.000
0.000 5.794 0.000
0.000 0.000 5.770
Ca Ag Sb Te
1 1 1 2
Cartesian
0.000 0.000 0.000
2.897 2.897 2.885
0.000 0.000 2.885
0.000 2.897 0.000
2.897 0.000 0.000
```

Results
M_tot = 0.00 μB/f.u.

---

*b*
## CaAgSbTe2 (PBE)

Data for crystalline CaAgSbTe2 at its relaxed geometry.

The structure in POSCAR format:
```
CaAgSbTe2
1.0
5.620 0.000 0.000
0.000 5.620 0.000
0.000 0.000 5.203
Ca Ag Sb Te
1 1 1 2
Cartesian
0.000 0.000 0.000
2.810 2.810 2.601
2.810 2.810 0.000
0.000 2.810 2.601
2.810 0.000 2.601
```

Results
M_tot = 0.00 μB/f.u.

---

Most stable structure among those shown: *b*.